# 1
Density functional theory data (PBE) for a relaxed GdSnBi crystal.

Values from the calculation:
- calculated volume (Å³/cell) = 101.9
- energy above the most stable polymorph in this dataset (meV per atom) = 44.6
- SG = F-43m (216)

a b c (Å): 5.2424 5.2424 5.2424
angles (deg): 60.00 60.00 60.00
Sites, in units of the cell vectors:
Gd: 0.5000 0.5000 0.5000
Bi: 0.0000 0.0000 0.0000
Sn: 0.7500 0.7500 0.7500

---

# 2
Density functional theory data (PBE) for a relaxed Mg3Ta crystal.

Values from the calculation:
- calculated volume (Å³/cell) = 159.3
- final energy (Ry/atom) = -0.2738
- SG = P6_3/mmc (194)

a b c (Å): 6.0876 6.0876 4.9640
angles (deg): 90.00 90.00 120.00
Sites, in units of the cell vectors:
Mg: 0.8374 0.1626 0.5000
Mg: 0.4960 0.9920 0.0000
Mg: 0.0080 0.5040 0.0000
Mg: 0.3253 0.1626 0.5000
Mg: 0.4960 0.5040 0.0000
Mg: 0.8374 0.6747 0.5000
Ta: 0.0000 0.0000 0.0000
Ta: 0.3333 0.6667 0.5000